Record 1
A plane-wave DFT calculation with PBE-GGA was carried out for an optimized crystal structure of Tm2TeSeS.

Cell lengths 4.332, 8.300, 8.479 Å; angles 82.09, 75.20, 74.87 degrees
Atoms (fractional coordinates):
Tm1 0.826 0.286 0.063
S1 0.631 0.614 0.123
Te1 0.811 0.752 0.627
Tm2 0.401 0.834 0.364
Tm3 0.599 0.166 0.636
Te2 0.189 0.248 0.373
S2 0.369 0.386 0.877
Se1 0.065 0.056 0.813
Se2 0.935 0.944 0.187
Tm4 0.174 0.714 0.937

---

Record 2
A plane-wave DFT calculation with PBE-GGA was carried out for an optimized crystal structure of Tm6TeSe2S3.

Cell lengths 3.953, 8.042, 8.943 Å; angles 103.99, 102.77, 90.00 degrees
Atoms (fractional coordinates):
Tm1 0.678 0.067 0.357
S1 0.836 0.170 0.671
Tm2 0.006 0.720 0.012
Tm3 0.660 0.599 0.321
Se1 0.168 0.333 0.335
Te1 0.500 0.000 0.000
Se2 0.832 0.667 0.665
Tm4 0.322 0.933 0.643
Tm5 0.994 0.280 0.988
S2 0.500 0.500 0.000
Tm6 0.340 0.401 0.679
S3 0.164 0.830 0.329

---

Record 3
A plane-wave DFT calculation with PBE-GGA was carried out for an optimized crystal structure of U2TeSeS2.

Cell lengths 3.780, 6.925, 10.971 Å; angles 90.00, 90.00, 90.00 degrees
Atoms (fractional coordinates):
U1 0.000 0.822 0.409
U2 0.500 0.659 0.922
Se1 0.500 0.786 0.212
Se2 0.500 0.286 0.788
S1 0.000 0.440 0.024
Te1 0.000 0.743 0.709
Te2 0.000 0.243 0.291
U3 0.500 0.159 0.078
U4 0.000 0.322 0.591
S2 0.500 0.550 0.483
S3 0.000 0.940 0.976
S4 0.500 0.050 0.517

---

Record 4
A plane-wave DFT calculation with PBE-GGA was carried out for an optimized crystal structure of U2TeSe2S2.

Cell lengths 4.379, 4.379, 12.345 Å; angles 90.00, 90.00, 120.00 degrees
Atoms (fractional coordinates):
S1 0.333 0.667 0.424
S2 0.667 0.333 0.576
U1 0.667 0.333 0.347
U2 0.333 0.667 0.653
Te1 0.000 0.000 0.000
Se1 0.000 0.000 0.775
Se2 0.000 0.000 0.225

---

Record 5
A plane-wave DFT calculation with PBE-GGA was carried out for an optimized crystal structure of TeW2SeS2.

Cell lengths 3.306, 3.306, 32.743 Å; angles 90.00, 90.00, 120.00 degrees
Atoms (fractional coordinates):
W1 0.667 0.333 0.948
S1 0.333 0.667 0.902
W2 0.667 0.333 0.521
Te1 0.667 0.333 0.232
S2 0.667 0.333 0.784
Se1 0.333 0.667 0.469
W3 0.333 0.667 0.291
S3 0.333 0.667 0.995
W4 0.333 0.667 0.737
S4 0.667 0.333 0.690
Se2 0.333 0.667 0.573
Te2 0.667 0.333 0.350

---

Record 6
A plane-wave DFT calculation with PBE-GGA was carried out for an optimized crystal structure of Te2WSeS.

Cell lengths 5.553, 4.681, 5.553 Å; angles 90.00, 90.00, 90.00 degrees
Atoms (fractional coordinates):
Te1 0.500 0.000 0.000
Te2 0.000 0.000 0.500
Se1 0.000 0.000 0.000
S1 0.500 0.500 0.500
W1 0.000 0.500 0.000

---

Record 7
A plane-wave DFT calculation with PBE-GGA was carried out for an optimized crystal structure of TeW2SeS2.

Cell lengths 3.306, 3.306, 29.127 Å; angles 90.00, 90.00, 120.00 degrees
Atoms (fractional coordinates):
Se1 0.667 0.333 0.550
S1 0.333 0.667 0.196
S2 0.667 0.333 0.958
Te1 0.333 0.667 0.818
Se2 0.667 0.333 0.434
Te2 0.333 0.667 0.686
S3 0.333 0.667 0.302
W1 0.667 0.333 0.249
W2 0.333 0.667 0.010
W3 0.333 0.667 0.492
S4 0.667 0.333 0.063
W4 0.667 0.333 0.752

---

Record 8
A plane-wave DFT calculation with PBE-GGA was carried out for an optimized crystal structure of Y4TeSeS2.

Cell lengths 4.033, 7.155, 7.050 Å; angles 71.09, 90.00, 90.00 degrees
Atoms (fractional coordinates):
Y1 0.000 0.217 0.250
Y2 0.000 0.783 0.750
Se1 0.500 0.500 0.000
S1 0.500 0.000 0.500
Te1 0.000 0.500 0.500
S2 0.000 0.000 0.000
Y3 0.500 0.791 0.226
Y4 0.500 0.209 0.774

---

no.,E_form (uncorrected) (meV per atom),total magnetization (μB per cell)
1,-1662.0,0.00
2,-1719.7,0.00
3,-1138.9,7.62
4,-902.5,5.00
5,-517.7,0.00
6,1542.3,1.52
7,-518.5,0.00
8,-1769.7,0.00